Sm2HfAl | GGA-PBE | optimized geometry

Properties
As for the formation energy: -0.07 eV/atom. The relative energy among the computed polymorphs is 0.0000 eV per atom. Its space group is P4/mmm (123).

Unit cell a=4.624 b=4.624 c=4.722 alpha=90.00 beta=90.00 gamma=90.00
Atoms (fractional coordinates):
Sm  0.000  0.500  0.000
Sm  0.500  0.000  0.000
Hf  0.000  0.000  0.500
Al  0.500  0.500  0.500

=====

K12MgPb4O10 | GGA-PBE | optimized geometry

Properties
For the formation energy from raw total energies, the calculation gives -31.277 eV per formula unit. Its space group is P1 (1).

Unit cell a=6.974 b=7.976 c=13.041 alpha=77.41 beta=78.36 gamma=82.61
Atoms (fractional coordinates):
K  0.000  0.000  0.000
K  0.007  0.540  0.011
K  0.118  0.800  0.272
K  0.181  0.250  0.272
K  0.246  0.901  0.513
K  0.294  0.452  0.508
K  0.372  0.100  0.750
K  0.464  0.799  0.987
K  0.585  0.937  0.201
K  0.791  0.705  0.523
K  0.908  0.355  0.773
K  0.915  0.904  0.759
Mg  0.674  0.112  0.386
Pb  0.319  0.593  0.762
Pb  0.449  0.248  0.982
Pb  0.739  0.531  0.292
Pb  0.866  0.250  0.532
O  0.083  0.638  0.669
O  0.102  0.166  0.619
O  0.204  0.778  0.868
O  0.215  0.339  0.875
O  0.285  0.050  0.100
O  0.531  0.703  0.379
O  0.646  0.076  0.890
O  0.884  0.723  0.158
O  0.935  0.046  0.421
O  0.983  0.475  0.402

=====

KCo2Br | GGA-PBE | optimized geometry

Properties
For the formation energy from raw total energies, the calculation gives 3.456 eV per formula unit. The relative energy among the computed polymorphs is 0.6438 eV per atom. Its space group is Pmmm (47).

Unit cell a=2.963 b=5.806 c=6.042 alpha=90.00 beta=90.00 gamma=90.00
Atoms (fractional coordinates):
K  0.000  0.000  0.000
Co  0.500  0.500  0.172
Co  0.500  0.500  0.828
Br  0.000  0.000  0.500

=====

Na10B13C7 | GGA-PBE | optimized geometry

Properties
As for the formation energy: 0.09 eV/atom. The relative energy among the computed polymorphs is 0.0057 eV per atom. Its space group is Cm (8).

Unit cell a=9.005 b=9.005 c=13.292 alpha=113.30 beta=113.30 gamma=18.05
Atoms (fractional coordinates):
Na  0.000  0.000  0.000
Na  0.000  0.000  0.496
Na  0.200  0.200  0.399
Na  0.202  0.202  0.897
Na  0.397  0.397  0.797
Na  0.400  0.400  0.300
Na  0.600  0.600  0.201
Na  0.602  0.602  0.694
Na  0.799  0.799  0.596
Na  0.801  0.801  0.101
B  0.024  0.024  0.793
B  0.164  0.164  0.574
B  0.173  0.173  0.096
B  0.241  0.241  0.232
B  0.373  0.373  0.994
B  0.431  0.431  0.608
B  0.566  0.566  0.381
B  0.567  0.567  0.878
B  0.631  0.631  0.010
B  0.762  0.762  0.768
B  0.833  0.833  0.913
B  0.836  0.836  0.420
B  0.968  0.968  0.187
C  0.033  0.033  0.317
C  0.230  0.230  0.704
C  0.367  0.367  0.482
C  0.435  0.435  0.123
C  0.632  0.632  0.510
C  0.772  0.772  0.294
C  0.963  0.963  0.671

=====

LaDySn2 | GGA-PBE | optimized geometry

Properties
As for the formation energy: -0.54 eV/atom. Its space group is R-3m (166).

Unit cell a=4.120 b=4.120 c=25.951 alpha=90.00 beta=90.00 gamma=120.00
Atoms (fractional coordinates):
La  0.000  0.000  0.000
La  0.333  0.667  0.667
La  0.667  0.333  0.333
Dy  0.000  0.000  0.500
Dy  0.333  0.667  0.167
Dy  0.667  0.333  0.833
Sn  0.000  0.000  0.246
Sn  0.000  0.000  0.754
Sn  0.333  0.667  0.421
Sn  0.333  0.667  0.913
Sn  0.667  0.333  0.087
Sn  0.667  0.333  0.579

=====

BiRhPb2O8 | GGA-PBE | optimized geometry

Properties
For the formation energy from raw total energies, the calculation gives -9.777 eV per formula unit. Its space group is P2/m (10).

Unit cell a=4.931 b=6.717 c=5.048 alpha=90.00 beta=90.63 gamma=90.00
Atoms (fractional coordinates):
Bi  0.000  0.000  0.000
Rh  0.000  0.500  0.000
Pb  0.500  0.260  0.500
Pb  0.500  0.740  0.500
O  0.214  0.270  0.849
O  0.214  0.730  0.849
O  0.247  0.500  0.321
O  0.284  0.000  0.336
O  0.716  0.000  0.664
O  0.753  0.500  0.679
O  0.786  0.270  0.151
O  0.786  0.730  0.151

=====

GaPS2O | GGA-PBE | optimized geometry

Properties
For the formation energy from raw total energies, the calculation gives 6.263 eV per formula unit. The relative energy among the computed polymorphs is 0.5988 eV per atom. Its space group is P4/mmm (123).

Unit cell a=4.545 b=4.545 c=4.878 alpha=90.00 beta=90.00 gamma=90.00
Atoms (fractional coordinates):
Ga  0.000  0.000  0.000
P  0.000  0.000  0.500
S  0.000  0.500  0.000
S  0.500  0.000  0.000
O  0.500  0.500  0.500

=====

PuMgHg6 | GGA-PBE | optimized geometry

Properties
As for the formation energy: -0.10 eV/atom. Its space group is Amm2 (38).

Unit cell a=5.092 b=6.869 c=11.241 alpha=90.00 beta=90.00 gamma=90.00
Atoms (fractional coordinates):
Pu  0.000  0.000  0.000
Pu  0.000  0.500  0.500
Mg  0.500  0.000  0.290
Mg  0.500  0.500  0.790
Hg  0.000  0.000  0.480
Hg  0.000  0.246  0.744
Hg  0.000  0.254  0.244
Hg  0.000  0.500  0.980
Hg  0.000  0.746  0.244
Hg  0.000  0.754  0.744
Hg  0.500  0.000  0.821
Hg  0.500  0.234  0.562
Hg  0.500  0.266  0.062
Hg  0.500  0.500  0.321
Hg  0.500  0.734  0.062
Hg  0.500  0.766  0.562